[1]
Here is a geometry-optimized Ce3ZnSi3 structure from Alexandria via LeMat-Bulk. Energies are from PBE.

Cell: 4.0049 4.2767 9.5745 Å, 102.91 102.07 90.00°
Last column: magnetic moment on the atom in μB.
Fractional coordinates of all 7 atoms:
Ce (0.3119, 0.8119, 0.6238)  0.85
Ce (0.6852, 0.1852, 0.3704)  0.82
Ce (0.0043, 0.0043, 0.0085)  0.59
Zn (0.4344, 0.4344, 0.8687)  0.01
Si (0.1396, 0.6396, 0.2793)  -0.01
Si (0.8598, 0.3598, 0.7196)  -0.03
Si (0.5649, 0.5649, 0.1298)  0.00

Computed properties:
The space group is Imm2. For the raw formation energy, the calculation gives -0.589 eV/atom.

=====

[2]
Here is a geometry-optimized Ce3ZnSi4 structure from Alexandria via LeMat-Bulk. Energies are from PBE.

Cell: 4.3595 5.8343 8.2024 Å, 110.83 105.41 90.00°
Last column: magnetic moment on the atom in μB.
Fractional coordinates of all 8 atoms:
Ce (0.1874, 0.1874, 0.3748)  0.47
Ce (0.8126, 0.8126, 0.6252)  0.47
Ce (0.0000, 0.5000, 0.0000)  0.37
Zn (0.5000, 0.0000, 0.0000)  0.00
Si (0.3767, 0.5780, 0.7535)  0.00
Si (0.6233, 0.4220, 0.2465)  0.00
Si (0.6233, 0.8245, 0.2465)  0.00
Si (0.3767, 0.1755, 0.7535)  0.00

Computed properties:
The space group is Immm. For the raw formation energy, the calculation gives -0.412 eV/atom.

=====

[3]
Here is a geometry-optimized Ce4ZnSi structure from Alexandria via LeMat-Bulk. Energies are from PBE.

Cell: 5.0206 5.8268 5.8268 Å, 97.35 64.45 64.45°
Fractional coordinates of all 6 atoms:
Ce (0.7472, 0.5848, 0.9205)
Ce (0.7472, 0.9205, 0.5848)
Ce (0.2527, 0.4152, 0.0795)
Ce (0.2527, 0.0795, 0.4152)
Zn (0.0000, 0.0000, 0.0000)
Si (0.5000, 0.5000, 0.5000)

Computed properties:
The space group is Immm. For the raw formation energy, the calculation gives -0.177 eV/atom.

=====

[4]
Here is a geometry-optimized Ce3Zn2Si3 structure from Alexandria via LeMat-Bulk. Energies are from PBE.

Cell: 4.2441 5.8307 14.4153 Å, 90.00 90.00 111.34°
Last column: magnetic moment on the atom in μB.
Fractional coordinates of all 16 atoms:
Ce (0.9264, 0.8527, 0.3864)  0.66
Ce (0.0736, 0.1473, 0.8864)  0.66
Ce (0.9264, 0.8527, 0.1136)  0.66
Ce (0.0736, 0.1473, 0.6136)  0.66
Ce (0.6339, 0.2678, 0.2500)  0.78
Ce (0.3661, 0.7322, 0.7500)  0.78
Zn (0.7795, 0.5589, 0.9080)  0.01
Zn (0.2205, 0.4411, 0.4080)  0.01
Zn (0.7795, 0.5589, 0.5920)  0.01
Zn (0.2205, 0.4411, 0.0920)  0.01
Si (0.6100, 0.2200, 0.4593)  -0.01
Si (0.3900, 0.7800, 0.9593)  -0.01
Si (0.6100, 0.2200, 0.0407)  -0.01
Si (0.3900, 0.7800, 0.5407)  -0.01
Si (0.3446, 0.6892, 0.2500)  -0.01
Si (0.6554, 0.3108, 0.7500)  -0.01

Computed properties:
The space group is Cmcm. For the raw formation energy, the calculation gives -0.513 eV/atom.

=====

[5]
Here is a geometry-optimized CeZrSi4 structure from Alexandria via LeMat-Bulk. Energies are from PBE.

Cell: 3.8432 7.3692 15.9561 Å, 90.00 90.00 90.00°
Last column: magnetic moment on the atom in μB.
Fractional coordinates of all 24 atoms:
Ce (0.0000, 0.6303, 0.3337)  0.16
Ce (0.0000, 0.3697, 0.6663)  0.16
Ce (0.0000, 0.1303, 0.1663)  0.16
Ce (0.0000, 0.8697, 0.8337)  0.16
Zr (0.0000, 0.6331, 0.0863)  0.00
Zr (0.0000, 0.3669, 0.9137)  0.00
Zr (0.0000, 0.1331, 0.4137)  0.00
Zr (0.0000, 0.8669, 0.5863)  0.00
Si (0.5000, 0.7894, 0.1954)  0.00
Si (0.5000, 0.2106, 0.8046)  0.00
Si (0.5000, 0.2894, 0.3046)  0.00
Si (0.5000, 0.7106, 0.6954)  0.00
Si (0.5000, 0.9005, 0.0572)  0.00
Si (0.5000, 0.0995, 0.9428)  0.00
Si (0.5000, 0.4005, 0.4428)  0.00
Si (0.5000, 0.5995, 0.5572)  0.00
Si (0.5000, 0.8553, 0.4547)  0.00
Si (0.5000, 0.1447, 0.5453)  0.00
Si (0.5000, 0.3553, 0.0453)  0.00
Si (0.5000, 0.6447, 0.9547)  0.00
Si (0.5000, 0.9683, 0.3123)  0.00
Si (0.5000, 0.0317, 0.6877)  0.00
Si (0.5000, 0.4683, 0.1877)  0.00
Si (0.5000, 0.5317, 0.8123)  0.00

Computed properties:
The space group is Pbam. For the raw formation energy, the calculation gives -0.518 eV/atom.

=====

[6]
Here is a geometry-optimized CeZrSi2 structure from Alexandria via LeMat-Bulk. Energies are from PBE.

Cell: 3.9419 3.9419 7.0708 Å, 73.81 73.81 60.00°
Fractional coordinates of all 4 atoms:
Si (0.2573, 0.2573, 0.2282)
Si (0.7427, 0.7427, 0.7718)
Zr (0.0000, 0.0000, 0.0000)
Ce (0.5000, 0.5000, 0.5000)

Computed properties:
The space group is R-3m. For the raw formation energy, the calculation gives -0.574 eV/atom. Its offset from the most stable computed form is 0.48 eV/f.u.

=====

[7]
Here is a geometry-optimized CeZrSi2 structure from Alexandria via LeMat-Bulk. Energies are from PBE.

Cell: 4.0621 3.8657 5.5921 Å, 90.00 111.31 90.00°
Last column: magnetic moment on the atom in μB.
Fractional coordinates of all 4 atoms:
Ce (0.4387, 0.5000, 0.4165)  0.21
Zr (0.7209, 0.0000, 0.9806)  0.00
Si (0.1609, 0.5000, 0.8606)  0.00
Si (0.0106, 0.0000, 0.5604)  0.00

Computed properties:
The space group is Amm2. For the raw formation energy, the calculation gives -0.694 eV/atom. Its offset from the most stable computed form is 0.00 eV/f.u.

=====

[8]
Here is a geometry-optimized Ce3ZrSi6 structure from Alexandria via LeMat-Bulk. Energies are from PBE.

Cell: 7.4906 7.4906 7.4906 Å, 97.26 97.26 97.26°
Fractional coordinates of all 20 atoms:
Ce (0.1864, 0.7500, 0.3136)
Ce (0.3136, 0.1864, 0.7500)
Ce (0.2500, 0.6864, 0.8136)
Ce (0.7500, 0.3136, 0.1864)
Ce (0.6864, 0.8136, 0.2500)
Ce (0.8136, 0.2500, 0.6864)
Zr (0.0000, 0.0000, 0.0000)
Zr (0.5000, 0.5000, 0.5000)
Si (0.9093, 0.6215, 0.9830)
Si (0.0170, 0.0907, 0.3785)
Si (0.1215, 0.4093, 0.4831)
Si (0.3785, 0.0170, 0.0907)
Si (0.4093, 0.4831, 0.1215)
Si (0.5169, 0.8785, 0.5907)
Si (0.4831, 0.1215, 0.4093)
Si (0.5907, 0.5169, 0.8785)
Si (0.6215, 0.9830, 0.9093)
Si (0.8785, 0.5907, 0.5169)
Si (0.9830, 0.9093, 0.6215)
Si (0.0907, 0.3785, 0.0170)

Computed properties:
The space group is R-3c. For the raw formation energy, the calculation gives -0.609 eV/atom.

=====

[9]
Here is a geometry-optimized Ce4Sm structure from Alexandria via LeMat-Bulk. Energies are from PBE.

Cell: 14.0934 14.0934 14.0934 Å, 13.82 13.82 13.82°
Fractional coordinates of all 5 atoms:
Sm (0.0000, 0.0000, 0.0000)
Ce (0.5967, 0.5967, 0.5967)
Ce (0.1992, 0.1992, 0.1992)
Ce (0.8008, 0.8008, 0.8008)
Ce (0.4033, 0.4033, 0.4033)

Computed properties:
The formation energy is 0.04 eV/atom. The space group is R-3m. Its offset from the most stable computed form is 0.00 eV/f.u.

=====

[10]
Here is a geometry-optimized Ce4Sm structure from Alexandria via LeMat-Bulk. Energies are from PBE.

Cell: 5.6134 5.6134 5.6134 Å, 90.00 90.00 90.00°
Last column: magnetic moment on the atom in μB.
Fractional coordinates of all 5 atoms:
Ce (0.0000, 0.0000, 0.0000)  1.18
Ce (0.5000, 0.0000, 0.5000)  0.65
Ce (0.0000, 0.5000, 0.5000)  0.65
Ce (0.5000, 0.5000, 0.0000)  0.65
Sm (0.5000, 0.5000, 0.5000)  0.11

Computed properties:
The formation energy is 0.78 eV/atom. The space group is Pm-3m. Its offset from the most stable computed form is 3.72 eV/f.u.

=====

[11]
Here is a geometry-optimized CeSm8 structure from Alexandria via LeMat-Bulk. Energies are from PBE.

Cell: 5.1303 8.0852 8.0852 Å, 84.22 71.50 71.50°
Last column: magnetic moment on the atom in μB.
Fractional coordinates of all 9 atoms:
Ce (0.0000, 0.0000, 0.0000)  0.78
Sm (0.6646, 0.0000, 0.6708)  0.01
Sm (0.3354, 0.0000, 0.3292)  0.01
Sm (0.0000, 0.3317, 0.6683)  -0.01
Sm (0.3354, 0.3292, 0.0000)  0.01
Sm (0.6683, 0.3317, 0.3317)  -0.01
Sm (0.6646, 0.6708, 0.0000)  0.01
Sm (0.0000, 0.6683, 0.3317)  -0.01
Sm (0.3317, 0.6683, 0.6683)  -0.01

Computed properties:
The formation energy is 0.04 eV/atom. The space group is I4/mmm.

=====

[12]
Here is a geometry-optimized Ce2Sm2Sn structure from Alexandria via LeMat-Bulk. Energies are from PBE.

Cell: 4.4254 4.4254 9.0472 Å, 104.16 104.16 90.00°
Last column: magnetic moment on the atom in μB.
Fractional coordinates of all 5 atoms:
Ce (0.4206, 0.4206, 0.8411)  0.92
Ce (0.5794, 0.5794, 0.1589)  0.92
Sm (0.7500, 0.2500, 0.5000)  0.10
Sm (0.2500, 0.7500, 0.5000)  0.10
Sn (0.0000, 0.0000, 0.0000)  -0.04

Computed properties:
The formation energy is 0.18 eV/atom. The space group is I4/mmm.

=====

Number 1: total magnetization 3.1 μB per cell, density 6.06 g/cm³. Number 2: total magnetization 1.5 μB per cell, density 5.31 g/cm³. Number 3: total magnetization 0.0 μB per cell, density 8.48 g/cm³. Number 4: total magnetization 5.8 μB per cell, density 6.35 g/cm³. Number 5: total magnetization 0.8 μB per cell, density 5.05 g/cm³. Number 6: total magnetization 0.0 μB per cell, density 5.30 g/cm³. Number 7: total magnetization 0.2 μB per cell, density 5.84 g/cm³. Number 8: total magnetization 0.0 μB per cell, density 5.52 g/cm³. Number 9: total magnetization 0.0 μB per cell, density 8.49 g/cm³. Number 10: total magnetization 4.2 μB per cell, density 6.67 g/cm³. Number 11: total magnetization 1.0 μB per cell, density 7.39 g/cm³. Number 12: total magnetization 2.6 μB per cell, density 6.99 g/cm³.